No. 1
A plane-wave DFT calculation with PBE was carried out for a relaxed structure of Zr2V2Ag.

The structure belongs to space group P4/mbm (No. 127); the cell edges are 7.024, 7.024 and 3.758 Å and the angles 90.00°, 90.00° and 90.00°. The asymmetric unit holds Zr at (0.177, 0.323, 0.000), V at (0.116, 0.616, 0.500) and Ag at (0.000, 0.000, 0.500).

The value obtained for the calculated formation energy is 0.188 eV per atom.


No. 2
A plane-wave DFT calculation with PBE was carried out for a relaxed structure of ZnSiNi2.

The structure belongs to space group Cm (No. 8); the cell edges are 8.692, 2.755 and 4.085 Å and the angles 90.00°, 105.82° and 90.00°. The asymmetric unit holds Zn at (0.000, 0.000, 0.000), Si at (0.257, 0.500, 0.368), Ni at (0.252, 0.000, 0.852) and Ni at (0.488, 0.000, 0.491).

Its uncorrected formation energy is -0.33 eV per atom.


No. 3
A plane-wave DFT calculation with PBE was carried out for a relaxed structure of HoZrTlPb.

The structure belongs to space group F-43m (No. 216); the cell edges are 7.423, 7.423 and 7.423 Å and the angles 90.00°, 90.00° and 90.00°. The asymmetric unit holds Ho at (0.000, 0.000, 0.000), Zr at (0.000, 0.000, 0.500), Tl at (0.250, 0.250, 0.250) and Pb at (0.250, 0.250, 0.750).

The value obtained for the calculated formation energy is -0.104 eV per atom.


No. 4
A plane-wave DFT calculation with PBE was carried out for a relaxed structure of Mg2IrOs.

The structure belongs to space group Cm (No. 8); the cell edges are 10.211, 2.795 and 4.859 Å and the angles 90.00°, 113.57° and 90.00°. The asymmetric unit holds Mg at (0.000, 0.000, 0.000), Mg at (0.215, 0.000, 0.596), Ir at (0.466, 0.000, 0.494) and Os at (0.255, 0.500, 0.113).

The value obtained for the calculated formation energy is -0.079 eV per atom. The energy above the most stable polymorph in this dataset comes out at 0.000 eV/atom.


No. 5
A plane-wave DFT calculation with PBE was carried out for a relaxed structure of BaZr2NbRe.

The structure belongs to space group P4/mmm (No. 123); the cell edges are 5.138, 5.138 and 4.941 Å and the angles 90.00°, 90.00° and 90.00°. The asymmetric unit holds Ba at (0.000, 0.000, 0.000), Zr at (0.000, 0.500, 0.000), Nb at (0.000, 0.000, 0.500) and Re at (0.500, 0.500, 0.500).

The value obtained for the calculated formation energy is 2.687 eV per atom.


No. 6
A plane-wave DFT calculation with PBE was carried out for a relaxed structure of Cs2AlHgSb2.

The structure belongs to space group Ibam (No. 72); the cell edges are 7.552, 16.880 and 7.249 Å and the angles 90.00°, 90.00° and 90.00°. The asymmetric unit holds Cs at (0.221, 0.165, 0.000), Al at (0.000, 0.500, 0.250), Hg at (0.000, 0.000, 0.250) and Sb at (0.206, 0.414, 0.000).

Its uncorrected formation energy is -0.36 eV per atom.


No. 7
A plane-wave DFT calculation with PBE was carried out for a relaxed structure of SmCdInGa.

The structure belongs to space group Pmmm (No. 47); the cell edges are 4.476, 4.477 and 4.688 Å and the angles 90.00°, 90.00° and 90.00°. The asymmetric unit holds Sm at (0.000, 0.000, 0.000), Cd at (0.500, 0.000, 0.500), In at (0.000, 0.500, 0.500) and Ga at (0.500, 0.500, 0.000).

The value obtained for the calculated formation energy is -0.417 eV per atom. The energy above the most stable polymorph in this dataset comes out at 0.000 eV/atom.


No. 8
A plane-wave DFT calculation with PBE was carried out for a relaxed structure of ScVS2N.

The structure belongs to space group P4/mmm (No. 123); the cell edges are 4.680, 4.680 and 3.634 Å and the angles 90.00°, 90.00° and 90.00°. The asymmetric unit holds Sc at (0.000, 0.000, 0.000), V at (0.500, 0.500, 0.500), S at (0.000, 0.500, 0.500) and N at (0.500, 0.500, 0.000).

The energy above the most stable polymorph in this dataset comes out at 0.000 eV/atom. Its uncorrected formation energy is -0.70 eV per atom.


| no. | VASP energy (eV/atom) | density (g cm⁻³) |
| --- | --- | --- |
| 1 | -7.449 | 7.02 |
| 2 | -4.890 | 7.44 |
| 3 | -4.904 | 10.84 |
| 4 | -5.899 | 11.26 |
| 5 | -5.620 | 7.62 |
| 6 | -2.694 | 5.30 |
| 7 | -3.267 | 7.91 |
| 8 | -7.108 | 3.63 |